LaDyCd6: relaxed, PBE.

Volume: 24.4 A^3/atom
E_form: -28.5 kJ/mol of atoms
Space-group type: No. 38
Size of the total moment: 0.00 μB per cell

Unit cell a=4.8981 b=6.5965 c=6.5965 alpha=66.45 beta=90.00 gamma=90.00
Element x y z (fractional)
Cd: 0.5000 0.6193 0.1908
Cd: 0.0000 0.3317 0.3317
Cd: 0.0000 0.8023 0.3818
Cd: 0.5000 0.1908 0.6193
Cd: 0.5000 0.6769 0.6769
Cd: 0.0000 0.3818 0.8023
Dy: 0.0000 0.8614 0.8614
La: 0.5000 0.1358 0.1358

***

K4LiReO6: relaxed, PBE.

Volume: 14.9 A^3/atom
Raw total energy: -5.699 eV/atom
Space-group type: No. 12
Size of the total moment: 0.00 μB per cell

Unit cell a=6.2466 b=6.2466 c=6.0874 alpha=104.16 beta=104.16 gamma=120.37
Element x y z (fractional)
K: 0.6680 0.3320 0.0000
K: 0.3320 0.6680 0.0000
K: 0.8226 0.1774 0.5000
K: 0.1774 0.8226 0.5000
Li: 0.5000 0.5000 0.5000
O: 0.8274 0.8274 0.1821
O: 0.3481 0.1029 0.2278
O: 0.1029 0.3481 0.2278
O: 0.8971 0.6519 0.7722
O: 0.6519 0.8971 0.7722
O: 0.1726 0.1726 0.8179
Re: 0.0000 0.0000 0.0000

***

Tb3Al3Ni2Ge: relaxed, PBE.

Volume: 19.3 A^3/atom
Raw total energy: -5.080 eV/atom
Space-group type: No. 189
Size of the total moment: 0.00 μB per cell

Unit cell a=7.2857 b=7.2857 c=3.7879 alpha=90.00 beta=90.00 gamma=120.00
Element x y z (fractional)
Al: 0.2661 0.0000 0.0000
Al: 0.0000 0.2661 0.0000
Al: 0.7339 0.7339 0.0000
Ge: 0.0000 0.0000 0.5000
Ni: 0.6667 0.3333 0.0000
Ni: 0.3333 0.6667 0.0000
Tb: 0.5963 0.0000 0.5000
Tb: 0.4037 0.4037 0.5000
Tb: 0.0000 0.5963 0.5000

***

Lu2InCu: relaxed, PBE.

Volume: 22.5 A^3/atom
Raw total energy: -3.835 eV/atom
Space-group type: No. 216
Size of the total moment: 0.00 μB per cell

Unit cell a=5.0335 b=5.0335 c=5.0335 alpha=60.00 beta=60.00 gamma=60.00
Element x y z (fractional)
Cu: 0.2500 0.2500 0.2500
In: 0.5000 0.5000 0.5000
Lu: 0.0000 0.0000 0.0000
Lu: 0.7500 0.7500 0.7500

***

Q: Look up the volume of the second one.
A: 14.9 A^3/atom